DFT (PBE-GGA) results for crystalline ZrAlMo2As at its relaxed geometry.

Values from the calculation:
- Crystal system: tetragonal
- Total magnetic moment: 0.0000 μB per atom
- Energy relative to the elements: 1.1493 eV per atom
- E: -6.57 eV/atom

The structure in CIF format:
```
data_ZrAlMo2As
_chemical_formula_sum 'Zr1 Al1 Mo2 As1'
_symmetry_space_group_name_H-M 'P 4/m m m'
_symmetry_Int_Tables_number 123
_symmetry_space_group_name_Hall '-P 4 2'
_cell_length_a 4.535
_cell_length_b 4.535
_cell_length_c 5.025
_cell_angle_alpha 90.00
_cell_angle_beta 90.00
_cell_angle_gamma 90.00
loop_
_atom_site_label
_atom_site_fract_x
_atom_site_fract_y
_atom_site_fract_z
Zr1 0.000 0.000 0.000
Al1 0.000 0.000 0.500
Mo1 0.000 0.500 0.500
As1 0.500 0.500 0.000
```


DFT (PBE-GGA) results for crystalline In3PS6 at its relaxed geometry.

Values from the calculation:
- Energy relative to the elements, uncorrected: -0.27 eV per atom
- Crystal system: orthorhombic
- Total magnetic moment: 0.0000 μB per atom
- E: -4.11 eV/atom

The structure in CIF format:
```
data_In3PS6
_chemical_formula_sum 'In12 P4 S24'
_symmetry_space_group_name_H-M 'C m c 21'
_symmetry_Int_Tables_number 36
_symmetry_space_group_name_Hall 'C 2c -2'
_cell_length_a 10.864
_cell_length_b 13.579
_cell_length_c 6.491
_cell_angle_alpha 90.00
_cell_angle_beta 90.00
_cell_angle_gamma 90.00
loop_
_atom_site_label
_atom_site_fract_x
_atom_site_fract_y
_atom_site_fract_z
In1 0.000 0.075 0.000
In2 0.201 0.408 0.863
P1 0.000 0.302 0.273
S1 0.000 0.303 0.583
S2 0.000 0.443 0.149
S3 0.149 0.226 0.141
S4 0.152 0.047 0.683
```


DFT (PBE-GGA) results for crystalline Tb2Er5Ni4 at its relaxed geometry.

Values from the calculation:
- Crystal system: monoclinic
- Total magnetic moment: 0.0000 μB per atom
- Energy relative to the elements: -0.1561 eV per atom
- E: -5.17 eV/atom

The structure in CIF format:
```
data_Tb2Er5Ni4
_chemical_formula_sum 'Tb4 Er10 Ni8'
_symmetry_space_group_name_H-M 'C 1 2/m 1'
_symmetry_Int_Tables_number 12
_symmetry_space_group_name_Hall '-C 2y'
_cell_length_a 22.604
_cell_length_b 3.538
_cell_length_c 6.657
_cell_angle_alpha 90.00
_cell_angle_beta 96.45
_cell_angle_gamma 90.00
loop_
_atom_site_label
_atom_site_fract_x
_atom_site_fract_y
_atom_site_fract_z
Tb1 0.229 0.000 0.259
Er1 0.000 0.000 0.000
Er2 0.101 0.500 0.398
Er3 0.129 0.500 0.892
Ni1 0.019 0.500 0.689
Ni2 0.178 0.000 0.638
```


DFT (PBE-GGA) results for crystalline La4TeCl at its relaxed geometry.

Values from the calculation:
- Energy relative to the elements, uncorrected: -0.25 eV per atom
- Crystal system: cubic
- Total magnetic moment: 0.0001 μB per atom
- E: -4.37 eV/atom

The structure in CIF format:
```
data_La4TeCl
_chemical_formula_sum 'La16 Te4 Cl4'
_symmetry_space_group_name_H-M 'F -4 3 m'
_symmetry_Int_Tables_number 216
_symmetry_space_group_name_Hall 'F -4 2 3'
_cell_length_a 9.206
_cell_length_b 9.206
_cell_length_c 9.206
_cell_angle_alpha 90.00
_cell_angle_beta 90.00
_cell_angle_gamma 90.00
loop_
_atom_site_label
_atom_site_fract_x
_atom_site_fract_y
_atom_site_fract_z
La1 0.123 0.123 0.123
Te1 0.250 0.250 0.750
Cl1 0.000 0.000 0.500
```